A plane-wave DFT calculation with GGA-PBE was carried out for a relaxed VZnPb2I crystal.

- Crystal system: tetragonal
- E: -2.395 eV/atom
- Space-group type: No. 123
- Uncorrected formation energy: 1.48 eV/atom

Cell lengths 6.0291, 6.0291, 5.0892 Å; angles 90.00, 90.00, 90.00 degrees
With the nearest neighbours (Å) after each atom.
Atoms (fractional coordinates):
V 0.0000 0.0000 0.0000  8 Pb 3.94, 4 Zn 4.26
Zn 0.5000 0.5000 0.0000  2 I 2.54
Pb 0.0000 0.5000 0.5000  2 I 3.01
Pb 0.5000 0.0000 0.5000  2 I 3.01
I 0.5000 0.5000 0.5000  2 Zn 2.54

---

A plane-wave DFT calculation with GGA-PBE was carried out for a relaxed La3NdDyY crystal.

- Crystal system: monoclinic
- E: -5.075 eV/atom
- Energy of formation from the pure elements: 28 meV per atom
- Space-group type: No. 11

Cell lengths 8.1437, 5.2304, 10.4395 Å; angles 90.00, 108.73, 90.00 degrees
With the nearest neighbours (Å) after each atom.
Atoms (fractional coordinates):
La 0.1677 0.2500 0.0435  3 Y 3.65-3.70, 1 Dy 3.66, 5 La 3.68-3.71, 3 Nd 3.69-3.70
La 0.1699 0.2500 0.5404  3 Dy 3.62-3.65, 1 Y 3.66, 3 Nd 3.67-3.71, 5 La 3.68-3.70
La 0.1700 0.7500 0.7916  3 Y 3.65-3.66, 1 Dy 3.65, 6 La 3.68-3.71, 2 Nd 3.71
La 0.8300 0.2500 0.2084  3 Y 3.65-3.66, 1 Dy 3.65, 6 La 3.68-3.71, 2 Nd 3.71
La 0.8301 0.7500 0.4596  3 Dy 3.62-3.65, 1 Y 3.66, 3 Nd 3.67-3.71, 5 La 3.68-3.70
La 0.8323 0.7500 0.9565  3 Y 3.65-3.70, 1 Dy 3.66, 5 La 3.68-3.71, 3 Nd 3.69-3.70
Nd 0.1704 0.7500 0.2932  3 Dy 3.62-3.65, 1 Y 3.62, 8 La 3.67-3.71
Nd 0.8296 0.2500 0.7068  3 Dy 3.62-3.65, 1 Y 3.62, 8 La 3.67-3.71
Dy 0.5001 0.2500 0.3770  5 La 3.62-3.66, 3 Nd 3.62-3.65, 2 Dy 3.67, 2 Y 3.70
Dy 0.4999 0.7500 0.6230  5 La 3.62-3.66, 3 Nd 3.62-3.65, 2 Dy 3.67, 2 Y 3.70
Y 0.4978 0.7500 0.1263  1 Nd 3.62, 7 La 3.65-3.70, 2 Dy 3.70, 2 Y 3.72
Y 0.5022 0.2500 0.8737  1 Nd 3.62, 7 La 3.65-3.70, 2 Dy 3.70, 2 Y 3.72

---

A plane-wave DFT calculation with GGA-PBE was carried out for a relaxed Nb3H4Rh2 crystal.

- Crystal system: monoclinic
- E: -6.606 eV/atom
- Space-group type: No. 12

Cell lengths 5.0345, 5.0345, 6.8504 Å; angles 102.35, 102.35, 32.83 degrees
With the nearest neighbours (Å) after each atom.
Atoms (fractional coordinates):
Nb 0.0000 0.0000 0.0000  4 H 2.08
Nb 0.3876 0.3876 0.6043  3 H 2.11-2.30
Nb 0.6124 0.6124 0.3957  3 H 2.11-2.30
H 0.0795 0.0795 0.6729  2 Rh 1.91
H 0.3449 0.3449 0.8940  3 Rh 2.04-2.14, 3 Nb 2.08-2.11
H 0.6551 0.6551 0.1060  3 Rh 2.04-2.14, 3 Nb 2.08-2.11
H 0.9206 0.9206 0.3271  2 Rh 1.91
Rh 0.3080 0.3080 0.1902  4 H 1.91-2.04
Rh 0.6920 0.6920 0.8098  4 H 1.91-2.04

---

What did the second record say?
A plane-wave DFT calculation with GGA-PBE was carried out for a relaxed La3NdDyY crystal.

- Crystal system: monoclinic
- E: -5.075 eV/atom
- Energy of formation from the pure elements: 28 meV per atom
- Space-group type: No. 11

Cell lengths 8.1437, 5.2304, 10.4395 Å; angles 90.00, 108.73, 90.00 degrees
With the nearest neighbours (Å) after each atom.
Atoms (fractional coordinates):
La 0.1677 0.2500 0.0435  3 Y 3.65-3.70, 1 Dy 3.66, 5 La 3.68-3.71, 3 Nd 3.69-3.70
La 0.1699 0.2500 0.5404  3 Dy 3.62-3.65, 1 Y 3.66, 3 Nd 3.67-3.71, 5 La 3.68-3.70
La 0.1700 0.7500 0.7916  3 Y 3.65-3.66, 1 Dy 3.65, 6 La 3.68-3.71, 2 Nd 3.71
La 0.8300 0.2500 0.2084  3 Y 3.65-3.66, 1 Dy 3.65, 6 La 3.68-3.71, 2 Nd 3.71
La 0.8301 0.7500 0.4596  3 Dy 3.62-3.65, 1 Y 3.66, 3 Nd 3.67-3.71, 5 La 3.68-3.70
La 0.8323 0.7500 0.9565  3 Y 3.65-3.70, 1 Dy 3.66, 5 La 3.68-3.71, 3 Nd 3.69-3.70
Nd 0.1704 0.7500 0.2932  3 Dy 3.62-3.65, 1 Y 3.62, 8 La 3.67-3.71
Nd 0.8296 0.2500 0.7068  3 Dy 3.62-3.65, 1 Y 3.62, 8 La 3.67-3.71
Dy 0.5001 0.2500 0.3770  5 La 3.62-3.66, 3 Nd 3.62-3.65, 2 Dy 3.67, 2 Y 3.70
Dy 0.4999 0.7500 0.6230  5 La 3.62-3.66, 3 Nd 3.62-3.65, 2 Dy 3.67, 2 Y 3.70
Y 0.4978 0.7500 0.1263  1 Nd 3.62, 7 La 3.65-3.70, 2 Dy 3.70, 2 Y 3.72
Y 0.5022 0.2500 0.8737  1 Nd 3.62, 7 La 3.65-3.70, 2 Dy 3.70, 2 Y 3.72